Compound: Th4Ti6O19
Source: Alexandria via LeMat-Bulk
Functional: PBE
Structure: relaxed

Properties
uncorrected formation energy: -75.73 kcal/mol of atoms

```
data_Th4Ti6O19
_chemical_formula_sum 'Th8 Ti12 O38'
_symmetry_space_group_name_H-M 'I 2 3'
_symmetry_Int_Tables_number 197
_symmetry_space_group_name_Hall 'I 2 2 3'
_cell_length_a 8.808
_cell_length_b 8.808
_cell_length_c 8.808
_cell_angle_alpha 90.00
_cell_angle_beta 90.00
_cell_angle_gamma 90.00
loop_
_atom_site_label
_atom_site_fract_x
_atom_site_fract_y
_atom_site_fract_z
Th1 0.166 0.166 0.834
Ti1 0.000 0.339 0.500
O1 0.000 0.000 0.000
O2 0.000 0.000 0.343
O3 0.051 0.314 0.285
```